Here is an optimized crystal structure of Zr2CoPt from Alexandria. Energies are from PBE-GGA.

```
Zr2CoPt
1.0
-1.964 1.978 4.469
1.964 -1.978 4.469
1.964 1.978 -4.469
Zr Co Pt
2 1 1
Cartesian
0.000 0.000 0.000
0.000 1.978 2.231
1.964 0.000 2.220
0.000 0.000 4.465
```

Properties
crystal system: orthorhombic
DFT formation energy: -1.945 eV per formula unit

***

Here is an optimized crystal structure of Bi2B2BrO6 from Alexandria. Energies are from PBE-GGA.

```
Bi2B2BrO6
1.0
5.593 0.000 0.000
-2.009 5.235 0.000
-2.410 -1.150 5.951
Bi B Br O
2 2 1 6
Cartesian
-0.234 1.403 1.251
1.409 2.682 4.700
-1.330 0.738 4.704
2.505 3.346 1.247
1.592 -0.575 2.975
-2.216 1.649 5.293
-1.337 -0.512 5.315
-0.459 1.150 3.730
1.633 2.934 2.221
2.511 4.596 0.636
3.390 2.435 0.657
```

Properties
crystal system: triclinic
formation energy from raw total energies: -1551.5 meV/atom

***

Here is an optimized crystal structure of TmZrCo4 from Alexandria. Energies are from PBE-GGA.

```
TmZrCo4
1.0
0.000 3.502 3.502
3.502 0.000 3.502
3.502 3.502 0.000
Tm Zr Co
1 1 4
Cartesian
0.000 0.000 0.000
1.751 1.751 1.751
4.378 2.625 2.625
2.625 4.378 2.625
2.625 2.625 4.378
4.378 4.378 4.378
```

Properties
crystal system: cubic
DFT formation energy: -1.646 eV per formula unit

***

Here is an optimized crystal structure of Ti3AgSb from Alexandria. Energies are from PBE-GGA.

```
Ti3AgSb
1.0
4.849 0.000 0.000
0.000 4.849 0.000
0.000 0.000 4.849
Ti Ag Sb
3 1 1
Cartesian
0.000 0.000 2.425
0.000 2.425 0.000
2.425 0.000 0.000
0.000 0.000 0.000
2.425 2.425 2.425
```

Properties
crystal system: cubic
formation energy from raw total energies: 739.9 meV/atom
excess energy over the best structure of this formula in the dataset: 0.0000 eV per atom

***

Here is an optimized crystal structure of TaSiTc2 from Alexandria. Energies are from PBE-GGA.

```
TaSiTc2
1.0
1.471 0.849 8.133
-1.471 0.849 8.133
0.000 -1.699 8.133
Ta Si Tc
1 1 2
Cartesian
0.000 0.000 0.000
0.000 0.000 12.200
0.000 0.000 5.924
0.000 0.000 18.477
```

Properties
crystal system: trigonal
formation energy from raw total energies: -71.3 meV/atom

***

Here is an optimized crystal structure of Fe4BiAs12 from Alexandria. Energies are from PBE-GGA.

```
Fe4BiAs12
1.0
-4.201 4.201 4.201
4.201 -4.201 4.201
4.201 4.201 -4.201
Fe Bi As
4 1 12
Cartesian
2.101 2.101 -2.101
2.101 -2.101 2.101
-2.101 2.101 2.101
2.101 2.101 2.101
0.000 0.000 0.000
2.870 1.295 0.000
5.533 1.295 0.000
4.201 -1.332 2.907
2.907 4.201 -1.332
1.295 0.000 2.870
0.000 2.870 1.295
4.201 1.332 2.907
2.907 4.201 1.332
1.295 0.000 5.533
0.000 5.533 1.295
-1.332 2.907 4.201
1.332 2.907 4.201
```

Properties
crystal system: cubic
DFT formation energy: -1.832 eV per formula unit

***

Here is an optimized crystal structure of SmBiRu2O7 from Alexandria. Energies are from PBE-GGA.

```
SmBiRu2O7
1.0
-3.651 3.697 5.196
3.651 -3.697 5.196
3.651 3.697 -5.196
Sm Bi Ru O
2 2 4 14
Cartesian
0.000 0.000 0.000
0.000 3.697 0.000
-1.826 1.848 2.598
1.826 1.848 2.598
1.826 1.848 -2.598
1.826 -1.848 2.598
3.651 0.000 0.000
0.000 0.000 5.196
2.170 -0.327 1.311
5.133 -0.327 1.311
3.651 -1.848 3.473
3.651 1.848 0.815
2.170 3.370 -1.311
1.481 -0.327 3.885
0.000 1.848 1.261
3.651 1.848 3.934
2.170 4.024 1.311
1.481 0.327 6.506
0.000 1.848 4.381
0.000 5.545 1.723
-1.481 4.024 3.885
1.481 4.024 3.885
```

Properties
crystal system: orthorhombic
formation energy from raw total energies: -1603.8 meV/atom

***

Here is an optimized crystal structure of LiTh3Se3 from Alexandria. Energies are from PBE-GGA.

```
LiTh3Se3
1.0
13.569 0.000 0.000
0.000 3.873 0.000
0.000 0.000 13.421
Li Th Se
4 12 12
Cartesian
0.328 0.968 2.738
6.457 2.905 9.448
7.113 0.968 3.972
13.241 2.905 10.683
1.590 2.905 0.258
1.730 0.968 7.983
2.721 2.905 4.715
4.063 0.968 11.425
5.054 2.905 1.272
5.194 0.968 6.968
8.375 2.905 6.452
8.515 0.968 12.149
9.506 2.905 1.996
10.848 0.968 8.706
11.839 2.905 5.438
11.979 0.968 13.163
0.538 0.968 5.225
1.098 0.968 11.353
2.924 0.968 2.333
3.860 2.905 9.044
5.687 2.905 4.643
6.246 2.905 11.936
7.323 0.968 1.485
7.882 0.968 8.778
9.709 0.968 4.377
10.645 2.905 11.088
12.471 2.905 2.067
13.031 2.905 8.196
```

Properties
crystal system: orthorhombic
formation energy from raw total energies: -1202.5 meV/atom

***

Here is an optimized crystal structure of Zr3NiSe from Alexandria. Energies are from PBE-GGA.

```
Zr3NiSe
1.0
4.870 0.000 0.000
0.000 4.870 0.000
0.000 0.000 4.870
Zr Ni Se
3 1 1
Cartesian
0.000 0.000 2.435
0.000 2.435 0.000
2.435 0.000 0.000
0.000 0.000 0.000
2.435 2.435 2.435
```

Properties
crystal system: cubic
formation energy from raw total energies: 81.2 meV/atom
excess energy over the best structure of this formula in the dataset: 0.0000 eV per atom

***

Here is an optimized crystal structure of NbFeBi2H from Alexandria. Energies are from PBE-GGA.

```
NbFeBi2H
1.0
4.947 0.000 0.000
0.000 4.947 0.000
0.000 0.000 3.407
Nb Fe Bi H
1 1 2 1
Cartesian
0.000 0.000 0.000
2.474 2.474 0.000
0.000 2.474 1.704
2.474 0.000 1.704
2.474 2.474 1.704
```

Properties
crystal system: tetragonal

***

Here is an optimized crystal structure of YTm4In from Alexandria. Energies are from PBE-GGA.

```
YTm4In
1.0
3.527 0.000 0.000
0.000 3.527 0.000
0.000 0.000 14.072
Y Tm In
1 4 1
Cartesian
0.000 0.000 0.000
0.000 0.000 4.948
0.000 0.000 9.124
1.763 1.763 2.505
1.763 1.763 11.567
1.763 1.763 7.036
```

Properties
crystal system: tetragonal
DFT formation energy: -0.877 eV per formula unit
excess energy over the best structure of this formula in the dataset: 0.0000 eV per atom

***

Here is an optimized crystal structure of NbCoSe2Br from Alexandria. Energies are from PBE-GGA.

```
NbCoSe2Br
1.0
5.047 0.000 0.000
0.000 5.047 0.000
0.000 0.000 5.186
Nb Co Se Br
1 1 2 1
Cartesian
0.000 0.000 0.000
2.523 2.523 2.593
0.000 2.523 0.000
2.523 0.000 0.000
0.000 0.000 2.593
```

Properties
crystal system: tetragonal
formation energy from raw total energies: 452.4 meV/atom
excess energy over the best structure of this formula in the dataset: 0.0000 eV per atom

***

Here is an optimized crystal structure of ErScNi from Alexandria. Energies are from PBE-GGA.

```
ErScNi
1.0
-1.650 1.650 5.818
1.650 -1.650 5.818
1.650 1.650 -5.818
Er Sc Ni
1 1 1
Cartesian
0.000 0.000 0.000
0.000 0.000 3.112
0.000 0.000 7.535
```

Properties
crystal system: tetragonal
DFT formation energy: -0.834 eV per formula unit
excess energy over the best structure of this formula in the dataset: 0.0592 eV per atom

***

Here is an optimized crystal structure of Na2AlN from Alexandria. Energies are from PBE-GGA.

```
Na2AlN
1.0
-1.756 1.756 10.127
1.756 -1.756 10.127
1.756 1.756 -10.127
Na Al N
4 2 2
Cartesian
2.634 0.753 -2.532
0.753 0.878 2.532
-0.878 1.003 7.595
1.003 0.878 12.658
1.756 0.000 5.063
0.000 0.000 10.127
0.000 0.000 0.000
0.000 1.756 5.063
```

Properties
crystal system: tetragonal
formation energy from raw total energies: 846.5 meV/atom
excess energy over the best structure of this formula in the dataset: 0.0000 eV per atom

***

Here is an optimized crystal structure of ZnP2W2 from Alexandria. Energies are from PBE-GGA.

```
ZnP2W2
1.0
6.943 0.000 0.000
0.000 6.943 0.000
0.000 0.000 3.086
Zn P W
2 4 4
Cartesian
0.000 0.000 0.000
3.471 3.471 0.000
1.005 2.466 1.543
2.466 5.938 1.543
4.477 1.005 1.543
5.938 4.477 1.543
1.015 4.486 0.000
2.457 1.015 0.000
4.486 5.928 0.000
5.928 2.457 0.000
```

Properties
crystal system: tetragonal
DFT formation energy: 0.091 eV per formula unit
excess energy over the best structure of this formula in the dataset: 0.0083 eV per atom

***

Here is an optimized crystal structure of Li8InSn2 from Alexandria. Energies are from PBE-GGA.

```
Li8InSn2
1.0
6.975 -2.316 0.000
6.975 2.316 0.000
-3.408 0.000 6.314
Li In Sn
8 1 2
Cartesian
-0.387 0.000 1.413
-0.317 0.000 4.437
2.488 0.000 3.848
5.324 0.000 0.337
5.219 0.000 5.977
8.054 0.000 2.466
10.860 0.000 1.878
10.930 0.000 4.902
5.271 0.000 3.157
2.430 0.000 1.023
8.113 0.000 5.291
```

Properties
crystal system: monoclinic
DFT formation energy: -3.296 eV per formula unit
excess energy over the best structure of this formula in the dataset: 0.0000 eV per atom

***

Here is an optimized crystal structure of RbGaAs2Br from Alexandria. Energies are from PBE-GGA.

```
RbGaAs2Br
1.0
6.551 0.000 0.000
0.000 6.551 0.000
0.000 0.000 6.290
Rb Ga As Br
1 1 2 1
Cartesian
0.000 0.000 0.000
3.275 3.275 3.145
0.000 3.275 0.000
3.275 0.000 0.000
0.000 0.000 3.145
```

Properties
crystal system: tetragonal
formation energy from raw total energies: 859.7 meV/atom
excess energy over the best structure of this formula in the dataset: 0.9936 eV per atom

***

Here is an optimized crystal structure of TmPt6 from Alexandria. Energies are from PBE-GGA.

```
TmPt6
1.0
-3.501 3.501 3.501
3.501 -3.501 3.501
3.501 3.501 -3.501
Tm Pt
1 6
Cartesian
0.000 0.000 0.000
3.501 1.751 0.000
3.501 0.000 1.751
1.751 3.501 0.000
1.751 0.000 3.501
0.000 3.501 1.751
0.000 1.751 3.501
```

Properties
crystal system: cubic
DFT formation energy: 3.385 eV per formula unit

***

Here is an optimized crystal structure of Ce4Sc3PaSe8 from Alexandria. Energies are from PBE-GGA.

```
Ce4Sc3PaSe8
1.0
4.041 2.333 6.703
-4.041 2.333 6.703
0.000 -4.667 6.703
Ce Sc Pa Se
4 3 1 8
Cartesian
0.000 0.000 0.000
-2.021 -1.167 6.703
-2.021 1.167 13.407
0.000 2.333 6.703
-4.041 0.000 10.055
-2.021 1.167 3.352
2.021 1.167 3.352
0.000 0.000 10.055
-2.077 -1.199 11.594
0.000 0.000 4.855
0.000 -2.398 8.516
-2.077 1.199 8.516
2.077 -1.199 11.594
0.000 2.398 11.594
0.000 0.000 15.256
2.077 1.199 8.516
```

Properties
crystal system: trigonal
formation energy from raw total energies: -1643.3 meV/atom

***

Here is an optimized crystal structure of CuGeSbI2 from Alexandria. Energies are from PBE-GGA.

```
CuGeSbI2
1.0
5.656 0.000 0.000
0.000 5.656 0.000
0.000 0.000 5.617
Cu Ge Sb I
1 1 1 2
Cartesian
0.000 0.000 0.000
2.828 2.828 2.808
2.828 2.828 0.000
0.000 2.828 2.808
2.828 0.000 2.808
```

Properties
crystal system: tetragonal
formation energy from raw total energies: 725.3 meV/atom
excess energy over the best structure of this formula in the dataset: 0.2140 eV per atom

***

Here is an optimized crystal structure of Pr7Ho4Er from Alexandria. Energies are from PBE-GGA.

```
Pr7Ho4Er
1.0
8.126 -3.022 0.000
8.126 3.022 0.000
-4.204 0.000 8.486
Pr Ho Er
7 4 1
Cartesian
0.000 0.000 0.000
1.475 0.000 6.489
4.230 0.000 0.996
4.418 0.000 4.700
7.630 0.000 3.786
7.818 0.000 7.489
10.573 0.000 1.997
-1.789 0.000 5.914
1.161 0.000 3.266
10.887 0.000 5.220
13.837 0.000 2.571
8.126 0.000 0.000
```

Properties
crystal system: monoclinic
DFT formation energy: 2.584 eV per formula unit
excess energy over the best structure of this formula in the dataset: 0.2068 eV per atom

***

Here is an optimized crystal structure of YMn2Ru from Alexandria. Energies are from PBE-GGA.

```
YMn2Ru
1.0
3.023 0.000 0.000
0.000 4.328 0.000
-1.416 0.000 5.350
Y Mn Ru
1 2 1
Cartesian
0.000 0.000 0.000
-0.026 2.164 3.774
1.633 2.164 1.576
0.803 0.000 2.675
```

Properties
crystal system: monoclinic
DFT formation energy: 1.058 eV per formula unit
excess energy over the best structure of this formula in the dataset: 0.1773 eV per atom

***

Here is an optimized crystal structure of LaPaP2N6 from Alexandria. Energies are from PBE-GGA.

```
LaPaP2N6
1.0
5.057 -4.963 0.000
5.057 4.963 0.000
-1.223 0.000 5.283
La Pa P N
2 2 4 12
Cartesian
4.140 3.348 3.962
4.751 -3.348 1.321
4.751 1.130 1.321
4.140 -1.130 3.962
1.225 0.823 4.079
1.837 -0.823 1.437
7.054 0.823 3.846
7.666 -0.823 1.204
3.283 2.718 1.598
1.555 0.178 0.085
0.944 -0.178 2.726
2.814 0.848 4.463
6.220 2.718 1.043
3.426 -0.848 1.821
5.465 0.848 3.462
2.671 -2.718 4.240
6.077 -0.848 0.820
7.947 0.178 2.557
7.336 -0.178 5.198
5.608 -2.718 3.685
```

Properties
crystal system: monoclinic
formation energy from raw total energies: -1060.0 meV/atom

***

| no. | mass density (Mg/m³) | final energy (eV per atom) | volume (Å³ per cell) |
| --- | --- | --- | --- |
| 1 | 10.4 | -8.047 | 69 |
| 2 | 5.9 | -6.328 | 174 |
| 3 | 9.6 | -7.182 | 86 |
| 4 | 5.4 | -5.392 | 114 |
| 5 | 11.0 | -9.573 | 61 |
| 6 | 7.5 | -5.609 | 297 |
| 7 | 8.0 | -7.227 | 281 |
| 8 | 8.9 | -6.149 | 705 |
| 9 | 5.9 | -6.901 | 115 |
| 10 | 11.3 | -5.470 | 83 |
| 11 | 8.3 | -4.661 | 175 |
| 12 | 4.9 | -4.711 | 132 |
| 13 | 7.1 | -5.837 | 63 |
| 14 | 2.3 | -2.830 | 125 |
| 15 | 11.1 | -7.582 | 149 |
| 16 | 3.3 | -2.668 | 204 |
| 17 | 2.4 | -2.134 | 270 |
| 18 | 13.0 | -5.333 | 172 |
| 19 | 6.8 | -6.650 | 379 |
| 20 | 4.7 | -2.462 | 180 |
| 21 | 7.2 | -4.479 | 417 |
| 22 | 7.1 | -8.255 | 70 |
| 23 | 6.5 | -8.580 | 265 |